(1)
VASP calculation (PBE) on an optimized crystal structure of Y12Ho7Hf.

Computed properties:
Size of the total moment (μB per formula unit): 0.000
SG: R-3
Theoretical density (Mg/m³): 6.25
Energy relative to the elements (kcal/mol of atoms): 6.68

Cell lengths 8.638, 8.638, 8.638 Å; angles 94.72, 94.72, 94.72 degrees
Sites, in units of the cell vectors:
1 Y 0.017 0.350 0.083
2 Y 0.083 0.017 0.350
3 Y 0.190 0.318 0.748
4 Y 0.252 0.810 0.682
5 Y 0.318 0.748 0.190
6 Y 0.350 0.083 0.017
7 Y 0.650 0.917 0.983
8 Y 0.682 0.252 0.810
9 Y 0.748 0.190 0.318
10 Y 0.810 0.682 0.252
11 Y 0.917 0.983 0.650
12 Y 0.983 0.650 0.917
13 Ho 0.000 0.000 0.000
14 Ho 0.154 0.477 0.416
15 Ho 0.416 0.154 0.477
16 Ho 0.477 0.416 0.154
17 Ho 0.523 0.584 0.846
18 Ho 0.584 0.846 0.523
19 Ho 0.846 0.523 0.584
20 Hf 0.500 0.500 0.500


(2)
VASP calculation (PBE) on an optimized crystal structure of YHoHf.

Computed properties:
Size of the total moment (μB per formula unit): 0.000
SG: P-6m2
Theoretical density (Mg/m³): 8.62
Energy relative to the elements (kcal/mol of atoms): 4.80

Cell lengths 5.329, 5.329, 3.386 Å; angles 90.00, 90.00, 120.00 degrees
Sites, in units of the cell vectors:
1 Y 0.000 0.000 0.000
2 Ho 0.667 0.333 0.500
3 Hf 0.333 0.667 0.000


(3)
VASP calculation (PBE) on an optimized crystal structure of YHo2Hf.

Computed properties:
Size of the total moment (μB per formula unit): 0.003
SG: R3m
Theoretical density (Mg/m³): 8.68
Energy relative to the elements (kcal/mol of atoms): 2.51

Cell lengths 11.334, 11.334, 11.334 Å; angles 17.45, 17.45, 17.45 degrees
Sites, in units of the cell vectors:
1 Y 0.000 0.000 0.000
2 Ho 0.578 0.578 0.578
3 Ho 0.755 0.755 0.755
4 Hf 0.166 0.166 0.166


no.,V (Å³/atom)
1,31.9
2,27.8
3,28.6